(1)
# ScBeAsPd2

A relaxed structure of ScBeAsPd2 (GGA-PBE, the Alexandria database).

Calculated values
The crystal system is tetragonal. The total moment is 0.000 μB/f.u. The polymorph energy (0 for the lowest one) is 5.45 eV/f.u.

Cell and atoms, written as CIF:
```
data_ScBeAsPd2
_chemical_formula_sum 'Sc1 Be1 As1 Pd2'
_cell_length_a 4.741
_cell_length_b 4.741
_cell_length_c 5.015
_cell_angle_alpha 90.00
_cell_angle_beta 90.00
_cell_angle_gamma 90.00
_space_group_name_H-M_alt 'P 4/m m m'
_space_group_IT_number 123
_space_group_name_Hall '-P 4 2'
loop_
_atom_site_label
_atom_site_fract_x
_atom_site_fract_y
_atom_site_fract_z
Sc1 0.000 0.000 0.000
Be1 0.500 0.500 0.500
As1 0.000 0.000 0.500
Pd1 0.000 0.500 0.000
```

(2)
# Tb4Pm4Nd3

A relaxed structure of Tb4Pm4Nd3 (GGA-PBE, the Alexandria database).

Calculated values
The crystal system is orthorhombic. The total moment is 0.000 μB/f.u. The polymorph energy (0 for the lowest one) is 0.21 eV/f.u.

Cell and atoms, written as CIF:
```
data_Tb4Pm4Nd3
_chemical_formula_sum 'Tb8 Pm8 Nd6'
_cell_length_a 10.785
_cell_length_b 5.779
_cell_length_c 12.138
_cell_angle_alpha 90.00
_cell_angle_beta 90.00
_cell_angle_gamma 90.00
_space_group_name_H-M_alt 'A m m 2'
_space_group_IT_number 38
loop_
_space_group_symop_operation_xyz
'x,y,z'
'-x,-y,z'
'-x,y,z'
'x,-y,z'
'x,y+1/2,z+1/2'
'-x,-y+1/2,z+1/2'
'-x,y+1/2,z+1/2'
'x,-y+1/2,z+1/2'
loop_
_atom_site_label
_atom_site_fract_x
_atom_site_fract_y
_atom_site_fract_z
Tb1 0.000 0.000 0.000
Tb2 0.199 0.000 0.490
Tb3 0.500 0.000 0.941
Pm1 0.000 0.000 0.272
Pm2 0.289 0.000 0.139
Pm3 0.500 0.000 0.346
Nd1 0.207 0.000 0.795
Nd2 0.500 0.000 0.641
```

Which value of polymorph energy (0 for the lowest one) does entry 1 give? 5.45 eV/f.u.

Please write out number 1 again, unchanged.
# ScBeAsPd2

A relaxed structure of ScBeAsPd2 (GGA-PBE, the Alexandria database).

Calculated values
The crystal system is tetragonal. The total moment is 0.000 μB/f.u. The polymorph energy (0 for the lowest one) is 5.45 eV/f.u.

Cell and atoms, written as CIF:
```
data_ScBeAsPd2
_chemical_formula_sum 'Sc1 Be1 As1 Pd2'
_cell_length_a 4.741
_cell_length_b 4.741
_cell_length_c 5.015
_cell_angle_alpha 90.00
_cell_angle_beta 90.00
_cell_angle_gamma 90.00
_space_group_name_H-M_alt 'P 4/m m m'
_space_group_IT_number 123
_space_group_name_Hall '-P 4 2'
loop_
_atom_site_label
_atom_site_fract_x
_atom_site_fract_y
_atom_site_fract_z
Sc1 0.000 0.000 0.000
Be1 0.500 0.500 0.500
As1 0.000 0.000 0.500
Pd1 0.000 0.500 0.000
```

What is the formula in the second record? Tb4Pm4Nd3

Number 1 is which compound? ScBeAsPd2